# 1
This record from Alexandria describes a relaxed TcAg3O crystal. The functional is PBE.

Distance to the lowest polymorph of the same formula ... 1.1442 eV per atom
Symmetry ... Pm-3m (221)
Crystal system ... cubic

Cell and atoms, written as POSCAR:
```
TcAg3O
1.0
5.162 0.000 0.000
0.000 5.162 0.000
0.000 0.000 5.162
Tc Ag O
1 3 1
direct
0.000 0.000 0.000
0.000 0.000 0.500
0.000 0.500 0.000
0.500 0.000 0.000
0.500 0.500 0.500
```

---

# 2
This record from Alexandria describes a relaxed PrAgSe crystal. The functional is PBE.

Symmetry ... R-3m (166)
Uncorrected energy ... -4.731 eV per atom
Crystal system ... trigonal

Cell and atoms, written as POSCAR:
```
PrAgSe
1.0
2.419 1.396 8.240
-2.419 1.396 8.240
0.000 -2.793 8.240
Pr Ag Se
2 2 2
direct
0.085 0.085 0.085
0.915 0.915 0.915
0.331 0.331 0.331
0.669 0.669 0.669
0.212 0.212 0.212
0.788 0.788 0.788
```

---

# 3
This record from Alexandria describes a relaxed Ac6CuRh2I2 crystal. The functional is PBE.

Symmetry ... C2/m (12)
Uncorrected energy ... -4.931 eV per atom
Crystal system ... monoclinic

Cell and atoms, written as POSCAR:
```
Ac6CuRh2I2
1.0
3.848 -6.614 0.000
3.848 6.614 0.000
-2.458 0.000 8.498
Ac Cu Rh I
6 1 2 2
direct
0.095 0.434 0.812
0.215 0.215 0.187
0.434 0.095 0.812
0.566 0.905 0.188
0.785 0.785 0.813
0.905 0.566 0.188
0.500 0.500 0.000
0.170 0.830 0.000
0.830 0.170 0.000
0.336 0.664 0.500
0.664 0.336 0.500
```

---

# 4
This record from Alexandria describes a relaxed LiPrPd2 crystal. The functional is PBE.

Energy relative to the elements ... -2.3 eV/f.u.
Symmetry ... P4/mmm (123)
Crystal system ... tetragonal

Cell and atoms, written as POSCAR:
```
LiPrPd2
1.0
3.579 0.000 0.000
0.000 3.579 0.000
0.000 0.000 6.094
Li Pr Pd
1 1 2
direct
0.000 0.000 0.000
0.000 0.000 0.500
0.500 0.500 0.225
0.500 0.500 0.775
```

---

# 5
This record from Alexandria describes a relaxed PmPaB12 crystal. The functional is PBE.

Energy relative to the elements ... -5.8 eV/f.u.
Symmetry ... P4/mmm (123)
Crystal system ... tetragonal

Cell and atoms, written as POSCAR:
```
PmPaB12
1.0
4.094 0.000 0.000
0.000 4.094 0.000
0.000 0.000 8.206
Pm Pa B
1 1 12
direct
0.000 0.000 0.000
0.000 0.000 0.500
0.198 0.500 0.252
0.198 0.500 0.748
0.500 0.198 0.252
0.500 0.198 0.748
0.500 0.500 0.100
0.500 0.500 0.402
0.500 0.500 0.598
0.500 0.500 0.900
0.500 0.802 0.252
0.500 0.802 0.748
0.802 0.500 0.252
0.802 0.500 0.748
```

---

# 6
This record from Alexandria describes a relaxed Cd2InAu3 crystal. The functional is PBE.

Energy relative to the elements ... -0.9 eV/f.u.
Distance to the lowest polymorph of the same formula ... 0.0000 eV per atom
Symmetry ... C2/c (15)
Crystal system ... monoclinic

Cell and atoms, written as POSCAR:
```
Cd2InAu3
1.0
2.629 -7.415 0.000
2.629 7.415 0.000
-0.006 0.000 6.173
Cd In Au
4 2 6
direct
0.002 0.998 0.750
0.335 0.665 0.250
0.665 0.335 0.750
0.998 0.002 0.250
0.334 0.666 0.750
0.666 0.334 0.250
0.166 0.832 0.499
0.168 0.834 0.001
0.500 0.500 0.000
0.500 0.500 0.500
0.832 0.166 0.999
0.834 0.168 0.501
```